## PrCd4 (GGA-PBE)

Data for a geometry-optimized PrCd4 structure.

a b c (Å): 4.911 6.855 8.603
angles (deg): 113.48 106.58 90.00
Fractional positions:
1 Cd 0.697 0.203 0.394
2 Cd 0.303 0.309 0.606
3 Cd 0.114 0.364 0.227
4 Cd 0.697 0.691 0.394
5 Cd 0.500 0.000 0.000
6 Cd 0.303 0.797 0.606
7 Cd 0.500 0.500 0.000
8 Cd 0.886 0.636 0.773
9 Pr 0.109 0.859 0.218
10 Pr 0.891 0.141 0.782

Calculated values
For the energy of formation from the pure elements, the calculation gives -0.242 eV/atom. Its total energy is -19.296 eV per cell.